# 1
This record from Alexandria via LeMat-Bulk describes a relaxed structure of CeZnGaIr3. The functional is GGA-PBE.

POSCAR file:
```
CeZnGaIr3
1.0
2.939 -6.232 0.000
2.939 6.232 0.000
0.000 0.000 5.848
Ce Zn Ga Ir
2 2 2 6
Direct
0.173 0.827 0.750 Ce
0.827 0.173 0.250 Ce
0.399 0.601 0.750 Zn
0.601 0.399 0.250 Zn
0.139 0.861 0.250 Ga
0.861 0.139 0.750 Ga
0.231 0.231 0.000 Ir
0.231 0.231 0.500 Ir
0.342 0.658 0.250 Ir
0.658 0.342 0.750 Ir
0.769 0.769 0.000 Ir
0.769 0.769 0.500 Ir
```

- density of states at the Fermi level (states/eV/cell) = 11.1
- calculated total energy (eV/atom) = -6.3731
- mass density (kg/m3) = 13205
- energy of formation from the pure elements (meV per atom) = -237

---

# 2
This record from Alexandria via LeMat-Bulk describes a relaxed structure of Sr3Ge3Ir2. The functional is GGA-PBE.

POSCAR file:
```
Sr3Ge3Ir2
1.0
2.217 -5.774 0.000
2.217 5.774 0.000
0.000 0.000 15.191
Sr Ge Ir
6 6 4
Direct
0.069 0.931 0.608 Sr
0.069 0.931 0.892 Sr
0.364 0.636 0.750 Sr
0.636 0.364 0.250 Sr
0.931 0.069 0.108 Sr
0.931 0.069 0.392 Sr
0.331 0.669 0.250 Ge
0.340 0.660 0.540 Ge
0.340 0.660 0.960 Ge
0.660 0.340 0.040 Ge
0.660 0.340 0.460 Ge
0.669 0.331 0.750 Ge
0.218 0.782 0.104 Ir
0.218 0.782 0.396 Ir
0.782 0.218 0.604 Ir
0.782 0.218 0.896 Ir
```

- density of states at the Fermi level (states/eV/cell) = 10.1
- calculated total energy (eV/atom) = -5.1432
- mass density (kg/m3) = 7389
- energy of formation from the pure elements (meV per atom) = -566

---

# 3
This record from Alexandria via LeMat-Bulk describes a relaxed structure of Th3Al2Pt3. The functional is GGA-PBE.

POSCAR file:
```
Th3Al2Pt3
1.0
8.535 0.000 0.000
-4.268 7.392 0.000
0.000 0.000 5.782
Th Al Pt
6 4 6
Direct
0.000 0.275 0.250 Th
0.000 0.725 0.750 Th
0.275 0.000 0.250 Th
0.275 0.275 0.750 Th
0.725 0.000 0.750 Th
0.725 0.725 0.250 Th
0.333 0.667 0.000 Al
0.333 0.667 0.500 Al
0.667 0.333 0.000 Al
0.667 0.333 0.500 Al
0.000 0.388 0.750 Pt
0.000 0.612 0.250 Pt
0.388 0.000 0.750 Pt
0.388 0.388 0.250 Pt
0.612 0.000 0.250 Pt
0.612 0.612 0.750 Pt
```

- density of states at the Fermi level (states/eV/cell) = 9.8
- calculated total energy (eV/atom) = -6.9388
- mass density (kg/m3) = 12156
- energy of formation from the pure elements (meV per atom) = -955

---

# 4
This record from Alexandria via LeMat-Bulk describes a relaxed structure of Er2MnGa3. The functional is GGA-PBE.

POSCAR file:
```
Er2MnGa3
1.0
5.225 -2.162 0.000
5.225 2.162 0.000
-4.748 0.000 5.246
Er Mn Ga
2 1 3
Direct
0.000 0.000 0.000 Er
0.100 0.100 0.602 Er
0.380 0.380 0.186 Mn
0.385 0.385 0.575 Ga
0.701 0.701 0.405 Ga
0.713 0.713 0.011 Ga
```

- density of states at the Fermi level (states/eV/cell) = 3.7
- calculated total energy (eV/atom) = -5.0384
- mass density (kg/m3) = 8386
- energy of formation from the pure elements (meV per atom) = -476

---

# 5
This record from Alexandria via LeMat-Bulk describes a relaxed structure of Na3Zr2PdS6. The functional is GGA-PBE.

POSCAR file:
```
Na3Zr2PdS6
1.0
3.344 -5.561 0.000
3.344 5.561 0.000
-2.473 0.000 6.671
Na Zr Pd S
3 2 1 6
Direct
0.000 0.000 0.000 Na
0.336 0.664 0.000 Na
0.664 0.336 0.000 Na
0.165 0.835 0.500 Zr
0.835 0.165 0.500 Zr
0.500 0.500 0.500 Pd
0.090 0.425 0.289 S
0.212 0.212 0.737 S
0.425 0.090 0.289 S
0.575 0.910 0.711 S
0.788 0.788 0.263 S
0.910 0.575 0.711 S
```

- density of states at the Fermi level (states/eV/cell) = 1.0
- calculated total energy (eV/atom) = -5.4681
- raw formation energy (kJ/mol of atoms) = -117.4
- mass density (kg/m3) = 3683

---

# 6
This record from Alexandria via LeMat-Bulk describes a relaxed structure of ZnTe. The functional is GGA-PBE.

POSCAR file:
```
ZnTe
1.0
1.946 -2.524 0.000
1.946 2.524 0.000
0.000 0.000 9.996
Zn Te
2 2
Direct
0.250 0.750 0.912 Zn
0.750 0.250 0.088 Zn
0.250 0.750 0.317 Te
0.750 0.250 0.683 Te
```

- density of states at the Fermi level (states/eV/cell) = 1.8
- calculated total energy (eV/atom) = -2.0661
- raw formation energy (kJ/mol of atoms) = 13.7
- mass density (kg/m3) = 6527

---

# 7
This record from Alexandria via LeMat-Bulk describes a relaxed structure of MgAlPd3. The functional is GGA-PBE.

POSCAR file:
```
MgAlPd3
1.0
4.564 0.000 0.000
0.000 4.564 0.000
0.000 0.000 4.564
Mg Al Pd
1 1 3
Direct
0.000 0.000 0.000 Mg
0.500 0.500 0.500 Al
0.000 0.000 0.500 Pd
0.000 0.500 0.000 Pd
0.500 0.000 0.000 Pd
```

- ΔE to the lowest computed polymorph (kJ/mol of atoms) = 96.4
- density of states at the Fermi level (states/eV/cell) = 3.0
- calculated total energy (eV/atom) = -3.8494
- mass density (kg/m3) = 6472
- energy of formation from the pure elements (meV per atom) = 334

---

# 8
This record from Alexandria via LeMat-Bulk describes a relaxed structure of HoBeAl2Au5. The functional is GGA-PBE.

POSCAR file:
```
HoBeAl2Au5
1.0
-2.215 2.968 6.579
2.215 -2.968 6.579
2.215 2.968 -6.579
Ho Be Al Au
1 1 2 5
Direct
0.000 0.000 0.000 Ho
0.500 0.500 0.000 Be
0.305 0.805 0.500 Al
0.695 0.195 0.500 Al
0.098 0.357 0.741 Au
0.384 0.643 0.741 Au
0.500 0.000 0.500 Au
0.616 0.357 0.259 Au
0.902 0.643 0.259 Au
```

- density of states at the Fermi level (states/eV/cell) = 4.2
- calculated total energy (eV/atom) = -3.9196
- mass density (kg/m3) = 11636
- energy of formation from the pure elements (meV per atom) = -345